# GGA-PBE Be2FeW2, optimized geometry
data_Be2FeW2
_chemical_formula_sum 'Be4 Fe2 W4'
_cell_length_a 5.912
_cell_length_b 5.912
_cell_length_c 3.302
_cell_angle_alpha 90.00
_cell_angle_beta 90.00
_cell_angle_gamma 90.00
_space_group_name_H-M_alt 'P 4/m b m'
_space_group_IT_number 127
_space_group_name_Hall '-P 4 2ab'
loop_
_atom_site_label
_atom_site_fract_x
_atom_site_fract_y
_atom_site_fract_z
Be1 0.122 0.378 0.000
Fe1 0.000 0.000 0.000
W1 0.176 0.676 0.500
# Spin magnetization, μB per formula unit: 1.97
# Formation energy, eV/atom: -0.099
# DOS at the Fermi energy, states/eV/atom: 0.877

=====

# GGA-PBE SrIn8Pb6, optimized geometry
data_SrIn8Pb6
_chemical_formula_sum 'Sr3 In24 Pb18'
_cell_length_a 8.5271
_cell_length_b 8.5271
_cell_length_c 21.4604
_cell_angle_alpha 90.00
_cell_angle_beta 90.00
_cell_angle_gamma 120.00
_space_group_name_H-M_alt 'R -3'
_space_group_IT_number 148
_space_group_name_Hall '-R 3'
loop_
_atom_site_label
_atom_site_fract_x
_atom_site_fract_y
_atom_site_fract_z
Sr1 0.0000 0.0000 0.0000
In1 0.0000 0.0000 0.4222
In2 0.0622 0.2576 0.1364
Pb1 0.0107 0.7749 0.7143
# Spin magnetization, μB per formula unit: 0.00
# Formation energy, eV/atom: -0.018
# DOS at the Fermi energy, states/eV/atom: 0.631

=====

# GGA-PBE NbNiS, optimized geometry
data_NbNiS
_chemical_formula_sum 'Nb2 Ni2 S2'
_cell_length_a 3.449
_cell_length_b 5.136
_cell_length_c 5.298
_cell_angle_alpha 70.73
_cell_angle_beta 72.84
_cell_angle_gamma 79.62
_space_group_name_H-M_alt 'P -1'
_space_group_IT_number 2
loop_
_space_group_symop_operation_xyz
'x,y,z'
'-x,-y,-z'
loop_
_atom_site_label
_atom_site_fract_x
_atom_site_fract_y
_atom_site_fract_z
Nb1 0.150 0.163 0.140
Ni1 0.407 0.227 0.550
S1 0.254 0.627 0.216
# ΔE_f (raw), eV per atom: -0.50
# Spin magnetization, μB per formula unit: 0.00
# Energy above the most stable polymorph in this dataset, meV per atom: 79
# DOS at the Fermi energy, states/eV/atom: 0.401

=====

# GGA-PBE BaInP2Cl, optimized geometry
data_BaInP2Cl
_chemical_formula_sum 'Ba1 In1 P2 Cl1'
_cell_length_a 6.580
_cell_length_b 6.580
_cell_length_c 5.947
_cell_angle_alpha 90.00
_cell_angle_beta 90.00
_cell_angle_gamma 90.00
_space_group_name_H-M_alt 'P 4/m m m'
_space_group_IT_number 123
_space_group_name_Hall '-P 4 2'
loop_
_atom_site_label
_atom_site_fract_x
_atom_site_fract_y
_atom_site_fract_z
Ba1 0.000 0.000 0.000
In1 0.500 0.500 0.500
P1 0.000 0.500 0.000
Cl1 0.000 0.000 0.500
# ΔE_f (raw), eV per atom: 0.33
# Spin magnetization, μB per formula unit: 4.00
# Energy above the most stable polymorph in this dataset, meV per atom: 769
# DOS at the Fermi energy, states/eV/atom: 0.540

=====

# GGA-PBE AcDySbS, optimized geometry
data_AcDySbS
_chemical_formula_sum 'Ac2 Dy2 Sb2 S2'
_cell_length_a 5.018
_cell_length_b 5.018
_cell_length_c 10.263
_cell_angle_alpha 90.00
_cell_angle_beta 90.00
_cell_angle_gamma 90.00
_space_group_name_H-M_alt 'P 4/n m m'
_space_group_IT_number 129
loop_
_space_group_symop_operation_xyz
'x,y,z'
'-x,-y,-z'
'-y+1/2,x,z'
'y+1/2,-x,-z'
'-x+1/2,-y+1/2,z'
'x+1/2,y+1/2,-z'
'y,-x+1/2,z'
'-y,x+1/2,-z'
'x+1/2,-y,-z'
'-x+1/2,y,z'
'-y,-x,-z'
'y,x,z'
'-x,y+1/2,-z'
'x,-y+1/2,z'
'y+1/2,x+1/2,-z'
'-y+1/2,-x+1/2,z'
loop_
_atom_site_label
_atom_site_fract_x
_atom_site_fract_y
_atom_site_fract_z
Ac1 0.250 0.250 0.145
Dy1 0.250 0.750 0.500
Sb1 0.250 0.250 0.675
S1 0.250 0.750 0.000
# ΔE_f (raw), eV per atom: -1.33
# Spin magnetization, μB per formula unit: 0.00
# DOS at the Fermi energy, states/eV/atom: 0.570

=====

# GGA-PBE Sm2Cd3Hg4, optimized geometry
data_Sm2Cd3Hg4
_chemical_formula_sum 'Sm4 Cd6 Hg8'
_cell_length_a 8.851
_cell_length_b 5.105
_cell_length_c 9.705
_cell_angle_alpha 90.00
_cell_angle_beta 90.14
_cell_angle_gamma 90.00
_space_group_name_H-M_alt 'C 1 2/m 1'
_space_group_IT_number 12
loop_
_space_group_symop_operation_xyz
'x,y,z'
'-x,-y,-z'
'-x,y,-z'
'x,-y,z'
'x+1/2,y+1/2,z'
'-x+1/2,-y+1/2,-z'
'-x+1/2,y+1/2,-z'
'x+1/2,-y+1/2,z'
loop_
_atom_site_label
_atom_site_fract_x
_atom_site_fract_y
_atom_site_fract_z
Sm1 0.167 0.000 0.216
Cd1 0.000 0.500 0.000
Cd2 0.166 0.000 0.565
Hg1 0.001 0.500 0.341
Hg2 0.166 0.000 0.893
# Spin magnetization, μB per formula unit: 0.00
# Energy above the most stable polymorph in this dataset, meV per atom: 0
# Formation energy, eV/atom: -0.323
# DOS at the Fermi energy, states/eV/atom: 0.336

=====

# GGA-PBE K2ZrMo, optimized geometry
data_K2ZrMo
_chemical_formula_sum 'K4 Zr2 Mo2'
_cell_length_a 21.981
_cell_length_b 3.239
_cell_length_c 4.317
_cell_angle_alpha 90.00
_cell_angle_beta 101.07
_cell_angle_gamma 90.00
_space_group_name_H-M_alt 'C 1 2/m 1'
_space_group_IT_number 12
loop_
_space_group_symop_operation_xyz
'x,y,z'
'-x,-y,-z'
'-x,y,-z'
'x,-y,z'
'x+1/2,y+1/2,z'
'-x+1/2,-y+1/2,-z'
'-x+1/2,y+1/2,-z'
'x+1/2,-y+1/2,z'
loop_
_atom_site_label
_atom_site_fract_x
_atom_site_fract_y
_atom_site_fract_z
K1 0.152 0.000 0.148
Zr1 0.000 0.000 0.500
Mo1 0.000 0.500 0.000
# Spin magnetization, μB per formula unit: 0.88
# Energy above the most stable polymorph in this dataset, meV per atom: 21
# Formation energy, eV/atom: 0.719
# DOS at the Fermi energy, states/eV/atom: 0.971

=====

# GGA-PBE NaBiIr2, optimized geometry
data_NaBiIr2
_chemical_formula_sum 'Na4 Bi4 Ir8'
_cell_length_a 7.820
_cell_length_b 7.820
_cell_length_c 5.541
_cell_angle_alpha 90.00
_cell_angle_beta 90.00
_cell_angle_gamma 90.00
_space_group_name_H-M_alt 'I -4 2 d'
_space_group_IT_number 122
_space_group_name_Hall 'I -4 2bw'
loop_
_atom_site_label
_atom_site_fract_x
_atom_site_fract_y
_atom_site_fract_z
Na1 0.000 0.000 0.000
Bi1 0.000 0.000 0.500
Ir1 0.213 0.250 0.625
# Spin magnetization, μB per formula unit: 0.00
# Formation energy, eV/atom: 0.798
# DOS at the Fermi energy, states/eV/atom: 0.171

=====

# GGA-PBE YbCuAs2, optimized geometry
data_YbCuAs2
_chemical_formula_sum 'Yb2 Cu2 As4'
_cell_length_a 3.947
_cell_length_b 3.947
_cell_length_c 9.761
_cell_angle_alpha 90.00
_cell_angle_beta 90.00
_cell_angle_gamma 90.00
_space_group_name_H-M_alt 'P 4/n m m'
_space_group_IT_number 129
loop_
_space_group_symop_operation_xyz
'x,y,z'
'-x,-y,-z'
'-y+1/2,x,z'
'y+1/2,-x,-z'
'-x+1/2,-y+1/2,z'
'x+1/2,y+1/2,-z'
'y,-x+1/2,z'
'-y,x+1/2,-z'
'x+1/2,-y,-z'
'-x+1/2,y,z'
'-y,-x,-z'
'y,x,z'
'-x,y+1/2,-z'
'x,-y+1/2,z'
'y+1/2,x+1/2,-z'
'-y+1/2,-x+1/2,z'
loop_
_atom_site_label
_atom_site_fract_x
_atom_site_fract_y
_atom_site_fract_z
Yb1 0.250 0.250 0.238
Cu1 0.250 0.750 0.500
As1 0.250 0.250 0.655
As2 0.250 0.750 0.000
# Spin magnetization, μB per formula unit: 0.00
# Formation energy, eV/atom: -0.675
# DOS at the Fermi energy, states/eV/atom: 2.544

=====

# GGA-PBE Mg2NiGe2Rh5, optimized geometry
data_Mg2NiGe2Rh5
_chemical_formula_sum 'Mg4 Ni2 Ge4 Rh10'
_cell_length_a 9.550
_cell_length_b 9.550
_cell_length_c 3.379
_cell_angle_alpha 90.00
_cell_angle_beta 90.00
_cell_angle_gamma 90.00
_space_group_name_H-M_alt 'P 4/m b m'
_space_group_IT_number 127
_space_group_name_Hall '-P 4 2ab'
loop_
_atom_site_label
_atom_site_fract_x
_atom_site_fract_y
_atom_site_fract_z
Mg1 0.169 0.331 0.000
Ni1 0.000 0.000 0.000
Ge1 0.132 0.632 0.000
Rh1 0.000 0.500 0.500
Rh2 0.071 0.805 0.500
# Spin magnetization, μB per formula unit: 1.42
# Formation energy, eV/atom: -0.357
# DOS at the Fermi energy, states/eV/atom: 0.821

=====

# GGA-PBE Ba3Ga2Ag2, optimized geometry
data_Ba3Ga2Ag2
_chemical_formula_sum 'Ba6 Ga4 Ag4'
_cell_length_a 12.597
_cell_length_b 4.512
_cell_length_c 9.083
_cell_angle_alpha 90.00
_cell_angle_beta 112.68
_cell_angle_gamma 90.00
_space_group_name_H-M_alt 'C 1 2/m 1'
_space_group_IT_number 12
loop_
_space_group_symop_operation_xyz
'x,y,z'
'-x,-y,-z'
'-x,y,-z'
'x,-y,z'
'x+1/2,y+1/2,z'
'-x+1/2,-y+1/2,-z'
'-x+1/2,y+1/2,-z'
'x+1/2,-y+1/2,z'
loop_
_atom_site_label
_atom_site_fract_x
_atom_site_fract_y
_atom_site_fract_z
Ba1 0.000 0.000 0.000
Ba2 0.180 0.000 0.644
Ga1 0.198 0.500 0.945
Ag1 0.016 0.500 0.329
# Spin magnetization, μB per formula unit: 0.00
# Formation energy, eV/atom: -0.314
# DOS at the Fermi energy, states/eV/atom: 0.773

=====

# GGA-PBE BIr, optimized geometry
data_BIr
_chemical_formula_sum 'B1 Ir1'
_cell_length_a 3.0489
_cell_length_b 3.0489
_cell_length_c 2.7254
_cell_angle_alpha 90.00
_cell_angle_beta 90.00
_cell_angle_gamma 120.00
_space_group_name_H-M_alt 'P -6 m 2'
_space_group_IT_number 187
_space_group_name_Hall 'P -6 2'
loop_
_atom_site_label
_atom_site_fract_x
_atom_site_fract_y
_atom_site_fract_z
B1 0.0000 0.0000 0.0000
Ir1 0.6667 0.3333 0.5000
# Spin magnetization, μB per formula unit: 0.00
# Formation energy, eV/atom: -0.186
# DOS at the Fermi energy, states/eV/atom: 0.546

=====

> The lowest DOS at the Fermi energy belongs to which entry?

NaBiIr2